# 1
The following is a DFT calculation (PBE) of a geometry-optimized SrLaZr4 structure.

a = 6.2920 Å, b = 6.2920 Å, c = 6.2920 Å
α = 60.00°, β = 60.00°, γ = 60.00°
Sites, in units of the cell vectors:
Sr  0.0000  0.0000  0.0000
La  0.2500  0.2500  0.2500
Zr  0.1366  0.6211  0.6211
Zr  0.6211  0.1366  0.6211
Zr  0.6211  0.6211  0.1366
Zr  0.6211  0.6211  0.6211

Properties
* E_tot: -6.39 eV per atom
* calculated density: 5576 kg/m3
* crystal system: cubic


# 2
The following is a DFT calculation (PBE) of a geometry-optimized B2As2O structure.

a = 6.1637 Å, b = 6.1637 Å, c = 3.4086 Å
α = 90.00°, β = 90.00°, γ = 90.00°
Sites, in units of the cell vectors:
B  0.0921  0.4079  0.0000
B  0.4079  0.9079  0.0000
B  0.5921  0.0921  0.0000
B  0.9079  0.5921  0.0000
As  0.2297  0.2703  0.5000
As  0.2703  0.7703  0.5000
As  0.7297  0.2297  0.5000
As  0.7703  0.7297  0.5000
O  0.0000  0.0000  0.5000
O  0.5000  0.5000  0.5000

Properties
* calculated density: 4808 kg/m3
* raw formation energy: 8.64 kcal/mol of atoms
* crystal system: tetragonal


# 3
The following is a DFT calculation (PBE) of a geometry-optimized LiRe2Se structure.

a = 2.6753 Å, b = 2.6753 Å, c = 9.5521 Å
α = 90.00°, β = 90.00°, γ = 113.29°
Sites, in units of the cell vectors:
Li  0.0000  0.0000  0.0000
Re  0.5000  0.5000  0.2449
Re  0.5000  0.5000  0.7551
Se  0.0000  0.0000  0.5000

Properties
* calculated density: 12120 kg/m3
* raw formation energy: 17.79 kcal/mol of atoms
* crystal system: orthorhombic


# 4
The following is a DFT calculation (PBE) of a geometry-optimized ErTm2Ni structure.

a = 9.5479 Å, b = 9.5479 Å, c = 9.5479 Å
α = 21.71°, β = 21.71°, γ = 21.71°
Sites, in units of the cell vectors:
Er  0.0000  0.0000  0.0000
Tm  0.2279  0.2279  0.2279
Tm  0.7721  0.7721  0.7721
Ni  0.5000  0.5000  0.5000

Properties
* E_tot: -4.91 eV per atom
* calculated density: 8967 kg/m3
* crystal system: trigonal


# 5
The following is a DFT calculation (PBE) of a geometry-optimized Au2SeBr6 structure.

a = 10.5948 Å, b = 10.5948 Å, c = 6.5783 Å
α = 96.61°, β = 96.61°, γ = 93.14°
Sites, in units of the cell vectors:
Au  0.1074  0.1079  0.2986
Au  0.1079  0.1074  0.7986
Au  0.8921  0.8926  0.2014
Au  0.8926  0.8921  0.7014
Se  0.4213  0.5787  0.7500
Se  0.5787  0.4213  0.2500
Br  0.0032  0.7659  0.4477
Br  0.2131  0.5805  0.8633
Br  0.2341  0.9968  0.0523
Br  0.3317  0.4525  0.3919
Br  0.4195  0.7869  0.6367
Br  0.4525  0.3317  0.8919
Br  0.5475  0.6683  0.1081
Br  0.5805  0.2131  0.3633
Br  0.6683  0.5475  0.6081
Br  0.7659  0.0032  0.9477
Br  0.7869  0.4195  0.1367
Br  0.9968  0.2341  0.5523

Properties
* calculated density: 4351 kg/m3
* raw formation energy: -2.37 kcal/mol of atoms
* crystal system: monoclinic


# 6
The following is a DFT calculation (PBE) of a geometry-optimized Ce7Ga2Pd2 structure.

a = 6.6971 Å, b = 6.6971 Å, c = 6.8170 Å
α = 90.00°, β = 90.00°, γ = 107.08°
Sites, in units of the cell vectors:
Ce  0.0000  0.0000  0.0000
Ce  0.0000  0.5000  0.2969
Ce  0.0000  0.5000  0.7031
Ce  0.5000  0.0000  0.2969
Ce  0.5000  0.0000  0.7031
Ce  0.5000  0.5000  0.2993
Ce  0.5000  0.5000  0.7007
Ga  0.1548  0.1548  0.5000
Ga  0.8452  0.8452  0.5000
Pd  0.2934  0.7066  0.0000
Pd  0.7066  0.2934  0.0000

Properties
* E_tot: -5.55 eV per atom
* calculated density: 7574 kg/m3
* crystal system: orthorhombic


What is the calculated density in the second record?
4808 kg/m3


Which formula does entry 3 have?
LiRe2Se


Please write out number 6 again, unchanged.
The following is a DFT calculation (PBE) of a geometry-optimized Ce7Ga2Pd2 structure.

a = 6.6971 Å, b = 6.6971 Å, c = 6.8170 Å
α = 90.00°, β = 90.00°, γ = 107.08°
Sites, in units of the cell vectors:
Ce  0.0000  0.0000  0.0000
Ce  0.0000  0.5000  0.2969
Ce  0.0000  0.5000  0.7031
Ce  0.5000  0.0000  0.2969
Ce  0.5000  0.0000  0.7031
Ce  0.5000  0.5000  0.2993
Ce  0.5000  0.5000  0.7007
Ga  0.1548  0.1548  0.5000
Ga  0.8452  0.8452  0.5000
Pd  0.2934  0.7066  0.0000
Pd  0.7066  0.2934  0.0000

Properties
* E_tot: -5.55 eV per atom
* calculated density: 7574 kg/m3
* crystal system: orthorhombic


What did the sixth record say?
The following is a DFT calculation (PBE) of a geometry-optimized Ce7Ga2Pd2 structure.

a = 6.6971 Å, b = 6.6971 Å, c = 6.8170 Å
α = 90.00°, β = 90.00°, γ = 107.08°
Sites, in units of the cell vectors:
Ce  0.0000  0.0000  0.0000
Ce  0.0000  0.5000  0.2969
Ce  0.0000  0.5000  0.7031
Ce  0.5000  0.0000  0.2969
Ce  0.5000  0.0000  0.7031
Ce  0.5000  0.5000  0.2993
Ce  0.5000  0.5000  0.7007
Ga  0.1548  0.1548  0.5000
Ga  0.8452  0.8452  0.5000
Pd  0.2934  0.7066  0.0000
Pd  0.7066  0.2934  0.0000

Properties
* E_tot: -5.55 eV per atom
* calculated density: 7574 kg/m3
* crystal system: orthorhombic